The following is a DFT calculation (PBE) of a geometry-optimized KPu3F10 structure.

```
KPu3F10
1.0
0.000 6.083 6.083
6.083 0.000 6.083
6.083 6.083 0.000
K Pu F
2 6 20
Direct
0.250 0.250 0.250 K
0.750 0.750 0.750 K
0.240 0.240 0.760 Pu
0.240 0.760 0.240 Pu
0.240 0.760 0.760 Pu
0.760 0.240 0.240 Pu
0.760 0.240 0.760 Pu
0.760 0.760 0.240 Pu
0.114 0.114 0.114 F
0.114 0.114 0.659 F
0.114 0.659 0.114 F
0.169 0.500 0.500 F
0.169 0.500 0.831 F
0.169 0.831 0.500 F
0.341 0.886 0.886 F
0.500 0.169 0.500 F
0.500 0.169 0.831 F
0.500 0.500 0.169 F
0.500 0.500 0.831 F
0.500 0.831 0.169 F
0.500 0.831 0.500 F
0.659 0.114 0.114 F
0.831 0.169 0.500 F
0.831 0.500 0.169 F
0.831 0.500 0.500 F
0.886 0.341 0.886 F
0.886 0.886 0.341 F
0.886 0.886 0.886 F
```

Computed properties:
The density of states at the Fermi level comes out at 38.2 states/eV/f.u. The calculation puts the energy relative to the elements, uncorrected at -3.50 eV per atom. The calculation puts the total energy at -7.989 eV/atom.